No. 1
A geometry-optimized CaTl2CdNi structure. Source: the Alexandria database, functional PBE.

- Formation energy: -0.052 eV/atom
- Calculated volume: 26.1 A^3/atom
- Energy above the lowest structure with this stoichiometry: 0 meV per atom
- Density of states at the Fermi level: 3.3 states/eV/f.u.
- Mass density: 7.90 g cm⁻³

```
data_CaTl2CdNi
_chemical_formula_sum 'Ca1 Tl2 Cd1 Ni1'
_space_group_name_H-M_alt 'P 4/m m m'
_space_group_IT_number 123
_space_group_name_Hall '-P 4 2'
_cell_length_a 5.076
_cell_length_b 5.076
_cell_length_c 5.058
_cell_angle_alpha 90.00
_cell_angle_beta 90.00
_cell_angle_gamma 90.00
loop_
_atom_site_label
_atom_site_type_symbol
_atom_site_fract_x
_atom_site_fract_y
_atom_site_fract_z
Ca1 Ca 0.000 0.000 0.000
Tl1 Tl 0.000 0.500 0.500
Cd1 Cd 0.500 0.500 0.000
Ni1 Ni 0.500 0.500 0.500
```


No. 2
A geometry-optimized CaTlCd2Ni structure. Source: the Alexandria database, functional PBE.

- Formation energy: -0.035 eV/atom
- Calculated volume: 26.3 A^3/atom
- Energy above the lowest structure with this stoichiometry: 45 meV per atom
- Density of states at the Fermi level: 2.6 states/eV/f.u.
- Mass density: 6.66 g cm⁻³

```
data_CaTlCd2Ni
_chemical_formula_sum 'Ca1 Tl1 Cd2 Ni1'
_space_group_name_H-M_alt 'P 4/m m m'
_space_group_IT_number 123
_space_group_name_Hall '-P 4 2'
_cell_length_a 5.065
_cell_length_b 5.065
_cell_length_c 5.132
_cell_angle_alpha 90.00
_cell_angle_beta 90.00
_cell_angle_gamma 90.00
loop_
_atom_site_label
_atom_site_type_symbol
_atom_site_fract_x
_atom_site_fract_y
_atom_site_fract_z
Ca1 Ca 0.000 0.000 0.000
Tl1 Tl 0.500 0.500 0.000
Cd1 Cd 0.000 0.500 0.500
Ni1 Ni 0.000 0.000 0.500
```


No. 3
A geometry-optimized Ca2TlCdNi structure. Source: the Alexandria database, functional PBE.

- Formation energy: -0.121 eV/atom
- Calculated volume: 28.5 A^3/atom
- Energy above the lowest structure with this stoichiometry: 20 meV per atom
- Density of states at the Fermi level: 3.1 states/eV/f.u.
- Mass density: 5.31 g cm⁻³

```
data_Ca2TlCdNi
_chemical_formula_sum 'Ca2 Tl1 Cd1 Ni1'
_space_group_name_H-M_alt 'P 4/m m m'
_space_group_IT_number 123
_space_group_name_Hall '-P 4 2'
_cell_length_a 5.347
_cell_length_b 5.347
_cell_length_c 4.983
_cell_angle_alpha 90.00
_cell_angle_beta 90.00
_cell_angle_gamma 90.00
loop_
_atom_site_label
_atom_site_type_symbol
_atom_site_fract_x
_atom_site_fract_y
_atom_site_fract_z
Ca1 Ca 0.000 0.500 0.000
Tl1 Tl 0.000 0.000 0.500
Cd1 Cd 0.500 0.500 0.500
Ni1 Ni 0.500 0.500 0.000
```


No. 4
A geometry-optimized Ca2TlCdNi structure. Source: the Alexandria database, functional PBE.

- Formation energy: -0.141 eV/atom
- Calculated volume: 28.6 A^3/atom
- Energy above the lowest structure with this stoichiometry: 0 meV per atom
- Density of states at the Fermi level: 2.3 states/eV/f.u.
- Mass density: 5.28 g cm⁻³

```
data_Ca2TlCdNi
_chemical_formula_sum 'Ca2 Tl1 Cd1 Ni1'
_space_group_name_H-M_alt 'P 4/m m m'
_space_group_IT_number 123
_space_group_name_Hall '-P 4 2'
_cell_length_a 5.360
_cell_length_b 5.360
_cell_length_c 4.984
_cell_angle_alpha 90.00
_cell_angle_beta 90.00
_cell_angle_gamma 90.00
loop_
_atom_site_label
_atom_site_type_symbol
_atom_site_fract_x
_atom_site_fract_y
_atom_site_fract_z
Ca1 Ca 0.000 0.500 0.000
Tl1 Tl 0.000 0.000 0.500
Cd1 Cd 0.500 0.500 0.500
Ni1 Ni 0.000 0.000 0.000
```


No. 5
A geometry-optimized CaTl2CdNi structure. Source: the Alexandria database, functional PBE.

- Formation energy: -0.048 eV/atom
- Calculated volume: 27.4 A^3/atom
- Energy above the lowest structure with this stoichiometry: 4 meV per atom
- Density of states at the Fermi level: 2.0 states/eV/f.u.
- Mass density: 7.51 g cm⁻³

```
data_CaTl2CdNi
_chemical_formula_sum 'Ca1 Tl2 Cd1 Ni1'
_space_group_name_H-M_alt 'P 4/m m m'
_space_group_IT_number 123
_space_group_name_Hall '-P 4 2'
_cell_length_a 5.087
_cell_length_b 5.087
_cell_length_c 5.296
_cell_angle_alpha 90.00
_cell_angle_beta 90.00
_cell_angle_gamma 90.00
loop_
_atom_site_label
_atom_site_type_symbol
_atom_site_fract_x
_atom_site_fract_y
_atom_site_fract_z
Ca1 Ca 0.000 0.000 0.000
Tl1 Tl 0.000 0.500 0.500
Cd1 Cd 0.500 0.500 0.000
Ni1 Ni 0.000 0.000 0.500
```


No. 6
A geometry-optimized CaTlCd2Ni structure. Source: the Alexandria database, functional PBE.

- Formation energy: -0.080 eV/atom
- Calculated volume: 25.3 A^3/atom
- Energy above the lowest structure with this stoichiometry: 0 meV per atom
- Density of states at the Fermi level: 2.6 states/eV/f.u.
- Mass density: 6.93 g cm⁻³

```
data_CaTlCd2Ni
_chemical_formula_sum 'Ca1 Tl1 Cd2 Ni1'
_space_group_name_H-M_alt 'P 4/m m m'
_space_group_IT_number 123
_space_group_name_Hall '-P 4 2'
_cell_length_a 5.033
_cell_length_b 5.033
_cell_length_c 4.995
_cell_angle_alpha 90.00
_cell_angle_beta 90.00
_cell_angle_gamma 90.00
loop_
_atom_site_label
_atom_site_type_symbol
_atom_site_fract_x
_atom_site_fract_y
_atom_site_fract_z
Ca1 Ca 0.000 0.000 0.000
Tl1 Tl 0.500 0.500 0.000
Cd1 Cd 0.000 0.500 0.500
Ni1 Ni 0.500 0.500 0.500
```


No. 7
A geometry-optimized Ca2YCdNi structure. Source: the Alexandria database, functional PBE.

- Formation energy: -0.087 eV/atom
- Calculated volume: 30.4 A^3/atom
- Density of states at the Fermi level: 3.9 states/eV/f.u.
- Mass density: 3.72 g cm⁻³

```
data_Ca2YCdNi
_chemical_formula_sum 'Ca2 Y1 Cd1 Ni1'
_space_group_name_H-M_alt 'P 4/m m m'
_space_group_IT_number 123
_space_group_name_Hall '-P 4 2'
_cell_length_a 5.399
_cell_length_b 5.399
_cell_length_c 5.212
_cell_angle_alpha 90.00
_cell_angle_beta 90.00
_cell_angle_gamma 90.00
loop_
_atom_site_label
_atom_site_type_symbol
_atom_site_fract_x
_atom_site_fract_y
_atom_site_fract_z
Ca1 Ca 0.000 0.500 0.000
Y1 Y 0.000 0.000 0.500
Cd1 Cd 0.500 0.500 0.500
Ni1 Ni 0.000 0.000 0.000
```


No. 8
A geometry-optimized CaZn2CdNi structure. Source: the Alexandria database, functional PBE.

- Formation energy: -0.118 eV/atom
- Calculated volume: 21.4 A^3/atom
- Density of states at the Fermi level: 2.6 states/eV/f.u.
- Mass density: 5.31 g cm⁻³

```
data_CaZn2CdNi
_chemical_formula_sum 'Ca1 Zn2 Cd1 Ni1'
_space_group_name_H-M_alt 'P 4/m m m'
_space_group_IT_number 123
_space_group_name_Hall '-P 4 2'
_cell_length_a 4.658
_cell_length_b 4.658
_cell_length_c 4.930
_cell_angle_alpha 90.00
_cell_angle_beta 90.00
_cell_angle_gamma 90.00
loop_
_atom_site_label
_atom_site_type_symbol
_atom_site_fract_x
_atom_site_fract_y
_atom_site_fract_z
Ca1 Ca 0.000 0.000 0.000
Zn1 Zn 0.000 0.500 0.500
Cd1 Cd 0.500 0.500 0.000
Ni1 Ni 0.500 0.500 0.500
```


No. 9
A geometry-optimized Ca2ZnCdNi structure. Source: the Alexandria database, functional PBE.

- Formation energy: -0.112 eV/atom
- Calculated volume: 26.5 A^3/atom
- Density of states at the Fermi level: 2.1 states/eV/f.u.
- Mass density: 3.98 g cm⁻³

```
data_Ca2ZnCdNi
_chemical_formula_sum 'Ca2 Zn1 Cd1 Ni1'
_space_group_name_H-M_alt 'P 4/m m m'
_space_group_IT_number 123
_space_group_name_Hall '-P 4 2'
_cell_length_a 5.332
_cell_length_b 5.332
_cell_length_c 4.654
_cell_angle_alpha 90.00
_cell_angle_beta 90.00
_cell_angle_gamma 90.00
loop_
_atom_site_label
_atom_site_type_symbol
_atom_site_fract_x
_atom_site_fract_y
_atom_site_fract_z
Ca1 Ca 0.000 0.500 0.000
Zn1 Zn 0.000 0.000 0.500
Cd1 Cd 0.500 0.500 0.500
Ni1 Ni 0.000 0.000 0.000
```


No. 10
A geometry-optimized CaZrCd2Ni structure. Source: the Alexandria database, functional PBE.

- Formation energy: 0.990 eV/atom
- Calculated volume: 25.0 A^3/atom
- Density of states at the Fermi level: 3.8 states/eV/f.u.
- Mass density: 5.50 g cm⁻³

```
data_CaZrCd2Ni
_chemical_formula_sum 'Ca1 Zr1 Cd2 Ni1'
_space_group_name_H-M_alt 'P 4/m m m'
_space_group_IT_number 123
_space_group_name_Hall '-P 4 2'
_cell_length_a 5.312
_cell_length_b 5.312
_cell_length_c 4.438
_cell_angle_alpha 90.00
_cell_angle_beta 90.00
_cell_angle_gamma 90.00
loop_
_atom_site_label
_atom_site_type_symbol
_atom_site_fract_x
_atom_site_fract_y
_atom_site_fract_z
Ca1 Ca 0.000 0.000 0.000
Zr1 Zr 0.500 0.500 0.500
Cd1 Cd 0.000 0.500 0.000
Ni1 Ni 0.000 0.000 0.500
```


No. 11
A geometry-optimized CaZr2CdNi structure. Source: the Alexandria database, functional PBE.

- Formation energy: 1.334 eV/atom
- Calculated volume: 23.8 A^3/atom
- Density of states at the Fermi level: 3.9 states/eV/f.u.
- Mass density: 5.49 g cm⁻³

```
data_CaZr2CdNi
_chemical_formula_sum 'Ca1 Zr2 Cd1 Ni1'
_space_group_name_H-M_alt 'P 4/m m m'
_space_group_IT_number 123
_space_group_name_Hall '-P 4 2'
_cell_length_a 5.187
_cell_length_b 5.187
_cell_length_c 4.422
_cell_angle_alpha 90.00
_cell_angle_beta 90.00
_cell_angle_gamma 90.00
loop_
_atom_site_label
_atom_site_type_symbol
_atom_site_fract_x
_atom_site_fract_y
_atom_site_fract_z
Ca1 Ca 0.000 0.000 0.000
Zr1 Zr 0.000 0.500 0.000
Cd1 Cd 0.500 0.500 0.500
Ni1 Ni 0.000 0.000 0.500
```


No. 12
A geometry-optimized CaNpCd2O6 structure. Source: the Alexandria database, functional PBE.

- Formation energy from raw total energies: -2.18 eV/atom
- Calculated volume: 14.6 A^3/atom
- Mass density: 6.79 g cm⁻³

```
data_CaNpCd2O6
_chemical_formula_sum 'Ca3 Np3 Cd6 O18'
_space_group_name_H-M_alt 'R 3'
_space_group_IT_number 146
_space_group_name_Hall 'R 3'
_cell_length_a 5.7506
_cell_length_b 5.7506
_cell_length_c 15.3255
_cell_angle_alpha 90.00
_cell_angle_beta 90.00
_cell_angle_gamma 120.00
loop_
_atom_site_label
_atom_site_type_symbol
_atom_site_fract_x
_atom_site_fract_y
_atom_site_fract_z
Ca1 Ca 0.0000 0.0000 0.0000
Np1 Np 0.0000 0.0000 0.4927
Cd1 Cd 0.0000 0.0000 0.2786
Cd2 Cd 0.0000 0.0000 0.7858
O1 O 0.0081 0.3756 0.2319
O2 O 0.0580 0.6831 0.0744
```